Compound: Tb2Ho2ThMg5
Source: Alexandria
Functional: PBE-GGA
Structure: optimized geometry

Summary:
Spin magnetization, μB per formula unit: 0.0
Formation energy, eV/f.u.: 1.2

Lattice parameters (Å, degrees): 10.5127 10.5127 5.1683 90.00 90.00 90.00
Closest atoms and distances in Å follow each position.
Space group P4/mbm (No. 127)
Inequivalent atoms, fractional coordinates:
Tb (0.1771, 0.3229, 0.0000) (multiplicity 4)  3 Ho 3.02-3.18
Ho (0.1199, 0.6199, 0.0000) (multiplicity 4)  3 Tb 3.02-3.18, 6 Mg 3.14-3.25
Th (0.0000, 0.0000, 0.0000) (multiplicity 2)  8 Mg 3.41
Mg (0.0000, 0.5000, 0.5000) (multiplicity 2)  4 Ho 3.14, 4 Mg 3.29
Mg (0.0766, 0.8030, 0.5000) (multiplicity 8)  4 Mg 3.14-3.36, 2 Ho 3.25, 2 Th 3.41